VASP calculation (PBE) on crystalline Li2AlAg2 at its relaxed geometry.

Magnetization = 0.000 μB/f.u.
Uncorrected energy = -0.0950 Ha/atom
Fermi-level density of states = 0.375 states/eV per atom
Crystal system = tetragonal
E_form = 0.070 eV/atom
Polymorph energy (0 for the lowest one) = 143 kJ/mol of formula units

a = 3.574 Å, b = 3.574 Å, c = 13.709 Å
α = 90.00°, β = 90.00°, γ = 90.00°
Space group I4/mmm (No. 139)
Symmetry-distinct sites (fractional):
Li1 0.000 0.500 0.250 x4
Al1 0.000 0.000 0.000 x2
Ag1 0.000 0.000 0.399 x4